No. 1
Entry from Alexandria via LeMat-Bulk: a relaxed structure of Zr3Sb (PBE-GGA).

Cell and atoms, written as POSCAR:
```
Zr3Sb
1.0
5.778 0.004 0.012
-2.589 5.165 0.012
-2.589 -4.198 3.009
Zr Sb
3 1
Direct
0.500 0.000 0.500
0.000 0.500 0.500
0.500 0.500 0.000
0.000 0.000 0.000
```

Properties
The uncorrected formation energy is -0.242 eV/atom. As for the space group: R-3m, No. 166. Its crystal system is trigonal. Its energy is -30.73 eV per cell.



No. 2
Entry from Alexandria via LeMat-Bulk: a relaxed structure of Zr5Sb3 (PBE-GGA).

Cell and atoms, written as POSCAR:
```
Zr5Sb3
1.0
-3.731 -0.562 -7.618
6.381 -5.247 2.005
-3.814 -3.817 2.149
Sb Zr
6 10
Direct
0.612 0.000 0.250
0.388 0.388 0.250
0.000 0.388 0.750
0.000 0.612 0.250
0.388 0.000 0.750
0.612 0.612 0.750
0.000 0.746 0.750
0.254 0.254 0.750
0.333 0.667 0.500
0.000 0.254 0.250
0.746 0.000 0.750
0.333 0.667 0.000
0.667 0.333 0.500
0.254 0.000 0.250
0.667 0.333 0.000
0.746 0.746 0.250
```

Properties
The uncorrected formation energy is -0.669 eV/atom. For the energy above the most stable polymorph in this dataset, the calculation gives 10.4 meV/atom. As for the space group: P6_3/mcm, No. 193. Its crystal system is hexagonal. Its energy is -120.91 eV per cell.



No. 3
Entry from Alexandria via LeMat-Bulk: a relaxed structure of ZrSb3 (PBE-GGA).

Cell and atoms, written as POSCAR:
```
ZrSb3
1.0
-4.938 -0.853 -3.230
1.692 -4.510 3.513
0.866 5.500 2.132
Sb Zr
3 1
Direct
0.000 0.000 0.000
0.000 0.500 0.500
0.500 0.000 0.500
0.500 0.500 0.000
```

Properties
The uncorrected formation energy is -0.018 eV/atom. For the energy above the most stable polymorph in this dataset, the calculation gives 276.0 meV/atom. As for the space group: R-3m, No. 166. Its crystal system is trigonal. Its energy is -20.99 eV per cell.



No. 4
Entry from Alexandria via LeMat-Bulk: a relaxed structure of ZrSb3 (PBE-GGA).

Cell and atoms, written as POSCAR:
```
ZrSb3
1.0
-2.778 4.539 -2.414
-4.490 -2.282 -2.963
2.177 0.610 5.389
Sb Zr
3 1
Direct
0.684 0.702 0.982
0.279 0.298 0.982
0.122 0.500 0.622
0.748 0.000 0.748
```

Properties
The uncorrected formation energy is -0.294 eV/atom. For the energy above the most stable polymorph in this dataset, the calculation gives 0.0 meV/atom. As for the space group: Imm2, No. 44. Its crystal system is orthorhombic. Its energy is -22.09 eV per cell.



No. 5
Entry from Alexandria via LeMat-Bulk: a relaxed structure of ZrSb (PBE-GGA).

Cell and atoms, written as POSCAR:
```
ZrSb
1.0
-5.514 -1.759 -0.600
-0.854 -5.255 -2.348
3.283 2.253 4.243
Sb Zr
2 2
Direct
0.000 0.000 0.000
0.250 0.750 0.500
0.750 0.250 0.500
0.500 0.500 0.000
```

Properties
The uncorrected formation energy is -0.382 eV/atom. As for the space group: I4_1/amd, No. 141. Its crystal system is tetragonal. Its energy is -26.87 eV per cell.



No. 6
Entry from Alexandria via LeMat-Bulk: a relaxed structure of ZrSb (PBE-GGA).

Cell and atoms, written as POSCAR:
```
ZrSb
1.0
5.587 0.000 0.003
4.265 3.609 0.003
1.963 0.719 6.988
Zr Sb
3 3
Direct
0.003 0.003 0.391
0.678 0.678 0.651
0.749 0.749 0.069
0.053 0.053 0.977
0.384 0.384 0.738
0.299 0.299 0.340
```

Properties
The uncorrected formation energy is -0.644 eV/atom. As for the space group: Cm, No. 8. Its crystal system is monoclinic. Its energy is -41.88 eV per cell.



No. 7
Entry from Alexandria via LeMat-Bulk: a relaxed structure of Zr3Sb (PBE-GGA).

Cell and atoms, written as POSCAR:
```
Zr3Sb
1.0
-5.437 -0.886 -2.723
-0.221 -0.335 6.132
-0.945 5.051 0.242
Sb Zr
2 6
Direct
0.334 0.666 0.250
0.666 0.334 0.750
0.130 0.870 0.750
0.831 0.630 0.250
0.630 0.831 0.750
0.169 0.370 0.750
0.370 0.169 0.250
0.870 0.130 0.250
```

Properties
The uncorrected formation energy is -0.429 eV/atom. As for the space group: Cmcm, No. 63. Its crystal system is orthorhombic. Its energy is -62.96 eV per cell.



No. 8
Entry from Alexandria via LeMat-Bulk: a relaxed structure of ZrSb (PBE-GGA).

Cell and atoms, written as POSCAR:
```
ZrSb
1.0
-4.844 -0.315 -1.594
-3.151 -3.448 2.071
-3.800 1.523 3.058
Zr Sb
2 2
Direct
0.750 0.750 0.750
0.500 0.500 0.500
0.000 0.000 0.000
0.250 0.250 0.250
```

Properties
The uncorrected formation energy is -0.075 eV/atom. As for the space group: Fd-3m, No. 227. Its crystal system is cubic. Its energy is -25.64 eV per cell.



No. 9
Entry from Alexandria via LeMat-Bulk: a relaxed structure of ZrSb8 (PBE-GGA).

Cell and atoms, written as POSCAR:
```
ZrSb8
1.0
-1.718 4.024 7.200
-2.102 -3.901 -7.167
1.713 -7.243 3.950
Sb Zr
8 1
Direct
0.652 0.652 0.305
0.708 0.000 0.708
0.292 0.000 0.292
0.000 0.292 0.292
0.000 0.708 0.708
0.348 0.652 0.000
0.652 0.348 0.000
0.348 0.348 0.695
0.000 0.000 0.000
```

Properties
The uncorrected formation energy is -0.016 eV/atom. As for the space group: I4/mmm, No. 139. Its crystal system is tetragonal. Its energy is -41.67 eV per cell.



No. 10
Entry from Alexandria via LeMat-Bulk: a relaxed structure of ZrSb2 (PBE-GGA).

Cell and atoms, written as POSCAR:
```
ZrSb2
1.0
3.823 0.000 0.000
0.000 6.272 0.000
0.000 0.000 7.424
Sb Zr
4 2
Direct
0.500 0.676 0.874
0.000 0.176 0.626
0.500 0.324 0.126
0.000 0.824 0.374
0.000 0.000 0.000
0.500 0.500 0.500
```

Properties
The uncorrected formation energy is -0.155 eV/atom. As for the space group: Pnnm, No. 58. Its crystal system is orthorhombic. Its energy is -34.51 eV per cell.



No. 11
Entry from Alexandria via LeMat-Bulk: a relaxed structure of ZrSb3 (PBE-GGA).

Cell and atoms, written as POSCAR:
```
ZrSb3
1.0
-5.819 -0.678 0.627
-2.279 -4.381 -3.212
4.094 1.017 4.113
Zr Sb
1 3
Direct
0.500 0.000 0.500
0.237 0.237 0.000
0.763 0.763 0.000
0.000 0.500 0.500
```

Properties
The uncorrected formation energy is -0.119 eV/atom. For the energy above the most stable polymorph in this dataset, the calculation gives 174.2 meV/atom. As for the space group: Immm, No. 71. Its crystal system is orthorhombic. Its energy is -21.39 eV per cell.



No. 12
Entry from Alexandria via LeMat-Bulk: a relaxed structure of Zr2Sb3 (PBE-GGA).

Cell and atoms, written as POSCAR:
```
Zr2Sb3
1.0
-0.719 -3.185 -1.984
-0.291 -3.512 5.744
-10.219 3.620 -2.111
Sb Zr
6 4
Direct
0.750 0.681 0.472
0.750 0.031 0.188
0.250 0.319 0.528
0.750 0.515 0.825
0.250 0.969 0.812
0.250 0.485 0.175
0.750 0.247 0.990
0.750 0.096 0.647
0.250 0.904 0.353
0.250 0.753 0.010
```

Properties
The uncorrected formation energy is -0.371 eV/atom. As for the space group: P2_1/m, No. 11. Its crystal system is monoclinic. Its energy is -62.63 eV per cell.